*a*
Computed, not measured: an optimized crystal structure of LaBe2Cl at the GGA-PBE level of DFT.

The density of states at the Fermi level is 0.93 states/eV per atom. The crystal system is tetragonal. As for the total magnetization: 0.0 Bohr magnetons per cell.

abc: 8.2331 8.2331 5.3326
angles: 90.00 90.00 90.00
Last column: nearest neighbours and their distance in Å.
Space group I-42d (No. 122)
One atom of each set of equivalent atoms:
La 0.0000 0.0000 0.0000  2 Cl 2.67
Be 0.2338 0.2500 0.6250  2 Be 2.68, 2 Cl 2.90
Cl 0.0000 0.0000 0.5000  2 La 2.67, 4 Be 2.90

***

*b*
Computed, not measured: an optimized crystal structure of LaBe2Cl at the GGA-PBE level of DFT.

The density of states at the Fermi level is 0.43 states/eV per atom. The crystal system is orthorhombic. As for the total magnetization: 0.0 Bohr magnetons per cell.

abc: 5.4019 8.4274 3.9657
angles: 90.00 90.00 90.00
Last column: nearest neighbours and their distance in Å.
Space group Cmmm (No. 65)
One atom of each set of equivalent atoms:
La 0.0000 0.0000 0.0000  2 Cl 2.70
Be 0.2500 0.2500 0.5000  2 Be 2.70
Cl 0.0000 0.5000 0.0000  2 La 2.70

***

*c*
Computed, not measured: an optimized crystal structure of LaBe2Cl at the GGA-PBE level of DFT.

The density of states at the Fermi level is 1.37 states/eV per atom. The crystal system is cubic. As for the total magnetization: 0.0 Bohr magnetons per cell.

abc: 6.9019 6.9019 6.9019
angles: 90.00 90.00 90.00
Last column: nearest neighbours and their distance in Å.
Space group Fm-3m (No. 225)
One atom of each set of equivalent atoms:
La 0.0000 0.0000 0.0000  8 Be 2.99
Be 0.2500 0.2500 0.2500  4 Cl 2.99, 4 La 2.99
Cl 0.0000 0.0000 0.5000  8 Be 2.99

***

Which one is most stable, and which one is least stable? *b* is the most stable of them, while *c* is the least stable.

***

*a*
Computed, not measured: an optimized crystal structure of LaBeCl2 at the GGA-PBE level of DFT.

The density of states at the Fermi level is 1.04 states/eV per atom. The crystal system is cubic. As for the total magnetization: 2.2 Bohr magnetons per cell.

abc: 7.1519 7.1519 7.1519
angles: 90.00 90.00 90.00
Last column: nearest neighbours and their distance in Å.
Space group F-43m (No. 216)
One atom of each set of equivalent atoms:
La 0.0000 0.0000 0.0000  4 Cl 3.10, 4 Be 3.10
Be 0.2500 0.2500 0.2500  4 Cl 3.10, 4 La 3.10
Cl 0.0000 0.0000 0.5000  4 Cl 3.10, 4 Be 3.10
Cl 0.2500 0.2500 0.7500  4 Cl 3.10, 4 La 3.10

***

*b*
Computed, not measured: an optimized crystal structure of LaBeCl2 at the GGA-PBE level of DFT.

The density of states at the Fermi level is 0.40 states/eV per atom. The crystal system is tetragonal. As for the total magnetization: 0.0 Bohr magnetons per cell.

abc: 4.4955 4.4955 4.2140
angles: 90.00 90.00 90.00
Last column: nearest neighbours and their distance in Å.
Space group P4/mmm (No. 123)
One atom of each set of equivalent atoms:
La 0.0000 0.0000 0.0000  8 Cl 3.08, 4 Be 3.18
Be 0.5000 0.5000 0.0000  8 Cl 3.08, 4 La 3.18
Cl 0.0000 0.5000 0.5000  4 Be 3.08, 4 La 3.08, 4 Cl 3.18

***

Which one is most stable, and which one is least stable? *b* is the most stable of them, while *a* is the least stable.

***

*a*
Computed, not measured: an optimized crystal structure of LaBeCl3 at the GGA-PBE level of DFT.

The density of states at the Fermi level is 0.95 states/eV per atom. The crystal system is cubic. As for the total magnetization: 0.0 Bohr magnetons per cell.

abc: 4.6309 4.6309 4.6309
angles: 90.00 90.00 90.00
Last column: nearest neighbours and their distance in Å.
Space group Pm-3m (No. 221)
One atom of each set of equivalent atoms:
La 0.0000 0.0000 0.0000  12 Cl 3.27
Be 0.5000 0.5000 0.5000  6 Cl 2.32
Cl 0.0000 0.5000 0.5000  2 Be 2.32

***

*b*
Computed, not measured: an optimized crystal structure of LaBeCl3 at the GGA-PBE level of DFT.

The density of states at the Fermi level is 0.00 states/eV per atom. The crystal system is cubic. As for the total magnetization: 0.0 Bohr magnetons per cell.

abc: 5.6021 5.6021 5.6021
angles: 90.00 90.00 90.00
Last column: nearest neighbours and their distance in Å.
Space group Pm-3m (No. 221)
One atom of each set of equivalent atoms:
La 0.0000 0.0000 0.0000  6 Cl 2.80
Be 0.5000 0.5000 0.5000  12 Cl 3.96
Cl 0.0000 0.0000 0.5000  2 La 2.80

***

Which one is most stable, and which one is least stable? *b* is the most stable of them, while *a* is the least stable.

***

*a*
Computed, not measured: an optimized crystal structure of LaBeP2Cl at the GGA-PBE level of DFT.

The density of states at the Fermi level is 0.29 states/eV per atom. The crystal system is tetragonal. As for the total magnetization: 0.0 Bohr magnetons per cell.

abc: 4.3073 4.3073 5.1194
angles: 90.00 90.00 90.00
Last column: nearest neighbours and their distance in Å.
Space group P4/mmm (No. 123)
One atom of each set of equivalent atoms:
La 0.0000 0.0000 0.0000  4 Cl 3.05, 8 P 3.35
Be 0.5000 0.5000 0.5000  4 P 2.15
P 0.0000 0.5000 0.5000  2 Be 2.15
Cl 0.5000 0.5000 0.0000  2 Be 2.56

***

*b*
Computed, not measured: an optimized crystal structure of LaBeP2Cl at the GGA-PBE level of DFT.

The density of states at the Fermi level is 1.01 states/eV per atom. The crystal system is tetragonal. As for the total magnetization: 1.0 Bohr magnetons per cell.

abc: 5.6571 5.6571 5.4253
angles: 90.00 90.00 90.00
Last column: nearest neighbours and their distance in Å.
Space group P4/mmm (No. 123)
One atom of each set of equivalent atoms:
La 0.0000 0.0000 0.0000  2 Cl 2.71, 4 P 2.83
Be 0.5000 0.5000 0.5000  8 P 3.92, 4 Cl 4.00
P 0.0000 0.5000 0.0000  2 La 2.83
Cl 0.0000 0.0000 0.5000  2 La 2.71

***

Which one is most stable, and which one is least stable? *a* is the most stable of them, while *b* is the least stable.

***

*a*
Computed, not measured: an optimized crystal structure of LaBeSCl2 at the GGA-PBE level of DFT.

The density of states at the Fermi level is 0.48 states/eV per atom. The crystal system is tetragonal. As for the total magnetization: 0.9 Bohr magnetons per cell.

abc: 5.5358 5.5358 5.6338
angles: 90.00 90.00 90.00
Last column: nearest neighbours and their distance in Å.
Space group P4/mmm (No. 123)
One atom of each set of equivalent atoms:
La 0.0000 0.0000 0.0000  4 Cl 2.77, 2 S 2.82
Be 0.5000 0.5000 0.5000  4 S 3.91, 8 Cl 3.95
S 0.0000 0.0000 0.5000  2 La 2.82
Cl 0.0000 0.5000 0.0000  2 La 2.77

***

*b*
Computed, not measured: an optimized crystal structure of LaBeSCl2 at the GGA-PBE level of DFT.

The density of states at the Fermi level is 0.73 states/eV per atom. The crystal system is tetragonal. As for the total magnetization: 0.0 Bohr magnetons per cell.

abc: 4.4985 4.4985 4.7210
angles: 90.00 90.00 90.00
Last column: nearest neighbours and their distance in Å.
Space group P4/mmm (No. 123)
One atom of each set of equivalent atoms:
La 0.0000 0.0000 0.0000  4 S 3.18, 8 Cl 3.26
Be 0.5000 0.5000 0.5000  4 Cl 2.25, 2 S 2.36
S 0.5000 0.5000 0.0000  2 Be 2.36
Cl 0.0000 0.5000 0.5000  2 Be 2.25

***

Which one is most stable, and which one is least stable? *b* is the most stable of them, while *a* is the least stable.

***

*a*
Computed, not measured: an optimized crystal structure of LiBe2Cl at the GGA-PBE level of DFT.

The density of states at the Fermi level is 0.00 states/eV per atom. The crystal system is tetragonal. As for the total magnetization: 0.0 Bohr magnetons per cell.

abc: 7.2642 7.2642 4.4910
angles: 90.00 90.00 90.00
Last column: nearest neighbours and their distance in Å.
Space group I-42d (No. 122)
One atom of each set of equivalent atoms:
Li 0.0000 0.0000 0.0000  2 Cl 2.25
Be 0.2124 0.2500 0.6250  2 Be 2.31, 2 Cl 2.45
Cl 0.0000 0.0000 0.5000  2 Li 2.25, 4 Be 2.45

***

*b*
Computed, not measured: an optimized crystal structure of LiBe2Cl at the GGA-PBE level of DFT.

The density of states at the Fermi level is 0.22 states/eV per atom. The crystal system is monoclinic. As for the total magnetization: 0.0 Bohr magnetons per cell.

abc: 7.7796 3.0320 6.0104
angles: 90.00 111.73 90.00
Last column: nearest neighbours and their distance in Å.
Space group Cm (No. 8)
One atom of each set of equivalent atoms:
Li 0.0000 0.0000 0.0000  4 Be 2.48-2.49, 1 Cl 2.48
Be 0.2442 0.5000 0.2662  1 Cl 2.11, 3 Be 2.16-2.33
Be 0.4837 0.0000 0.3184  3 Be 2.16-2.33, 2 Cl 2.18
Cl 0.4851 0.5000 0.5800  3 Be 2.11-2.18

***

*c*
Computed, not measured: an optimized crystal structure of LiBe2Cl at the GGA-PBE level of DFT.

The density of states at the Fermi level is 0.26 states/eV per atom. The crystal system is cubic. As for the total magnetization: 0.0 Bohr magnetons per cell.

abc: 6.3519 6.3519 6.3519
angles: 90.00 90.00 90.00
Last column: nearest neighbours and their distance in Å.
Space group F-43m (No. 216)
One atom of each set of equivalent atoms:
Li 0.0000 0.0000 0.0000  4 Be 2.75, 4 Cl 2.75
Be 0.0000 0.0000 0.5000  4 Cl 2.75, 4 Be 2.75
Be 0.2500 0.2500 0.2500  4 Be 2.75, 4 Li 2.75
Cl 0.2500 0.2500 0.7500  4 Li 2.75, 4 Be 2.75

***

Which one is most stable, and which one is least stable? *b* is the most stable of them, while *c* is the least stable.